# Cu3Mo2W4N3

A relaxed Cu3Mo2W4N3 crystal (PBE, OQMD via LeMat-Bulk).

a = 8.599 Å, b = 4.970 Å, c = 14.256 Å
α = 90.00°, β = 101.66°, γ = 90.00°
Space group C2/c (No. 15)
Inequivalent atoms, fractional coordinates:
1 Cu 0.000 0.189 0.250 x4
2 Cu 0.197 0.221 0.750 x8
3 Mo 0.048 0.417 0.893 x8
4 W 0.115 0.081 0.095 x8
5 W 0.218 0.083 0.405 x8
6 N 0.078 0.265 0.500 x8
7 N 0.250 0.250 0.000 x4

---

# Cu2MoWN4

A relaxed Cu2MoWN4 crystal (PBE, OQMD via LeMat-Bulk).

a = 2.9217 Å, b = 2.9217 Å, c = 10.7138 Å
α = 90.00°, β = 90.00°, γ = 120.00°
Space group P-6m2 (No. 187)
Inequivalent atoms, fractional coordinates:
1 Cu 0.0000 0.0000 0.2474 x2
2 Mo 0.6667 0.3333 0.0000 x1
3 W 0.3333 0.6667 0.5000 x1
4 N 0.3333 0.6667 0.1173 x2
5 N 0.6667 0.3333 0.3831 x2

---

# Na2Cu2Mo3

A relaxed Na2Cu2Mo3 crystal (PBE, OQMD via LeMat-Bulk).

a = 4.3963 Å, b = 4.3963 Å, c = 21.4818 Å
α = 90.00°, β = 90.00°, γ = 120.00°
Space group R3m (No. 160, hexagonal axes)
Inequivalent atoms, fractional coordinates:
1 Na 0.0000 0.0000 0.0000 x3
2 Na 0.0000 0.0000 0.4132 x3
3 Cu 0.0000 0.0000 0.1397 x3
4 Cu 0.0000 0.0000 0.6761 x3
5 Mo 0.0000 0.0000 0.2553 x3
6 Mo 0.0000 0.0000 0.5566 x3
7 Mo 0.0000 0.0000 0.8518 x3

---

The evaluated total magnetization for the records listed, in turn: 0.01; 1.21; 0.03 μB/cell.
The evaluated electronic total energy for the records listed, in turn: -433.43; -63.67; -114.24 eV for the cell shown.